No. 1
! Ce2YAl3Pd3 | Alexandria via LeMat-Bulk | GGA-PBEsol | optimized geometry; values from VASP
&SYSTEM
  ibrav = 0, nat = 9, ntyp = 4
/
ATOMIC_SPECIES
Ce 140.12 Ce.upf
Y 88.91 Y.upf
Al 26.98 Al.upf
Pd 106.42 Pd.upf
CELL_PARAMETERS angstrom
4.0828 0.0000 0.0000
0.0000 6.1657 3.5051
0.0000 -6.1657 3.5051
ATOMIC_POSITIONS angstrom
Ce 0.0000 -3.5546 3.5051
Ce 0.0000 3.5546 3.5051
Y 0.0000 0.0000 4.4034
Al 2.0414 -1.4277 2.3112
Al 2.0414 1.4277 2.3112
Al 2.0414 0.0000 6.8081
Pd 0.0000 0.0000 1.4594
Pd 2.0414 -2.1009 5.0048
Pd 2.0414 2.1009 5.0048
! - ΔH_f (0 K): -787 meV per atom
! - Magnetic moment: 0.00 μB/cell
! - Space-group type: Amm2 (38)

No. 2
! CeY2Al3Pd3 | Alexandria via LeMat-Bulk | GGA-PBEsol | optimized geometry; values from VASP
&SYSTEM
  ibrav = 0, nat = 9, ntyp = 4
/
ATOMIC_SPECIES
Ce 140.12 Ce.upf
Y 88.91 Y.upf
Al 26.98 Al.upf
Pd 106.42 Pd.upf
CELL_PARAMETERS angstrom
3.9926 0.0000 0.0000
0.0000 6.1079 3.5934
0.0000 -6.1079 3.5934
ATOMIC_POSITIONS angstrom
Ce 0.0000 0.0000 0.0000
Y 0.0000 -2.5441 4.5315
Y 0.0000 2.5441 4.5315
Al 1.9963 -1.4844 2.1873
Al 1.9963 1.4844 2.1873
Al 1.9963 0.0000 4.6973
Pd 0.0000 0.0000 3.0043
Pd 1.9963 -4.1206 3.0542
Pd 1.9963 4.1206 3.0542
! - ΔH_f (0 K): -834 meV per atom
! - Magnetic moment: 0.00 μB/cell
! - Space-group type: Amm2 (38)

No. 3
! CeAl5Pt3 | Alexandria via LeMat-Bulk | GGA-PBEsol | optimized geometry; values from VASP
&SYSTEM
  ibrav = 0, nat = 36, ntyp = 3
/
ATOMIC_SPECIES
Ce 140.12 Ce.upf
Al 26.98 Al.upf
Pt 195.08 Pt.upf
CELL_PARAMETERS angstrom
20.5927 0.0000 0.0000
0.0000 4.0978 0.0000
0.0000 0.0000 7.2427
ATOMIC_POSITIONS angstrom
Ce 2.8935 1.0244 0.8772
Ce 7.4028 3.0733 4.4986
Ce 13.1899 1.0244 2.7441
Ce 17.6992 3.0733 6.3655
Al 0.1332 3.0733 0.9518
Al 0.3328 1.0244 2.7872
Al 2.4346 1.0244 4.6505
Al 4.1406 3.0733 5.9108
Al 4.2691 3.0733 3.1206
Al 6.0273 1.0244 6.7419
Al 6.1557 1.0244 2.2894
Al 7.8618 3.0733 1.0291
Al 9.9636 3.0733 6.4085
Al 10.1632 1.0244 4.5732
Al 10.4295 3.0733 2.6695
Al 10.6291 1.0244 0.8342
Al 12.7309 1.0244 6.2136
Al 14.4370 3.0733 4.9533
Al 14.5655 3.0733 0.5008
Al 16.3236 1.0244 4.1222
Al 16.4521 1.0244 1.3319
Al 18.1582 3.0733 2.5923
Al 20.2600 3.0733 4.4556
Al 20.4596 1.0244 6.2909
Pt 1.5279 3.0733 6.0930
Pt 1.7377 3.0733 3.0307
Pt 4.9340 1.0244 4.5051
Pt 5.3624 3.0733 0.8837
Pt 8.5587 1.0244 6.6520
Pt 8.7685 1.0244 2.4716
Pt 11.8242 3.0733 4.7711
Pt 12.0340 3.0733 0.5907
Pt 15.2303 1.0244 6.3590
Pt 15.6588 3.0733 2.7376
Pt 18.8551 1.0244 4.2121
Pt 19.0649 1.0244 1.1498
! - ΔH_f (0 K): -994 meV per atom
! - Magnetic moment: 0.92 μB/cell
! - Space-group type: Pnma (62)

No. 4
! Ce2Al16Pt9 | Alexandria via LeMat-Bulk | GGA-PBEsol | optimized geometry; values from VASP
&SYSTEM
  ibrav = 0, nat = 27, ntyp = 3
/
ATOMIC_SPECIES
Ce 140.12 Ce.upf
Al 26.98 Al.upf
Pt 195.08 Pt.upf
CELL_PARAMETERS angstrom
-2.0707 5.9267 9.0696
2.0707 -5.9267 9.0696
2.0707 5.9267 -9.0696
ATOMIC_POSITIONS angstrom
Ce 0.0000 0.0000 4.1265
Ce 0.0000 0.0000 14.0126
Al 2.0707 0.0000 1.5717
Al 2.0707 -3.8915 7.6225
Al 2.0707 -2.2698 5.3755
Al 0.0000 2.0352 1.4471
Al 2.0707 4.5224 -1.9572
Al 0.0000 4.5792 0.0000
Al 2.0707 2.2698 5.3755
Al 2.0707 4.5224 1.9572
Al 0.0000 1.4043 7.1123
Al 0.0000 3.6569 3.6941
Al 0.0000 7.2742 0.0000
Al 0.0000 1.4043 11.0268
Al 2.0707 3.8915 7.6225
Al 0.0000 8.1965 3.6941
Al 0.0000 9.8182 1.4471
Al 0.0000 5.9267 7.4979
Pt 0.0000 0.0000 0.0000
Pt 2.0707 2.1856 -2.9101
Pt 2.0707 2.9453 0.0000
Pt 2.0707 2.1856 2.9101
Pt 2.0707 0.0000 6.7873
Pt 0.0000 5.9267 2.2823
Pt 0.0000 3.7411 6.1594
Pt 0.0000 2.9814 9.0696
Pt 0.0000 3.7411 11.9797
! - ΔH_f (0 K): -964 meV per atom
! - Magnetic moment: 0.90 μB/cell
! - Space-group type: Immm (71)

No. 5
! Ce2Al9Rh3 | Alexandria via LeMat-Bulk | GGA-PBEsol | optimized geometry; values from VASP
&SYSTEM
  ibrav = 0, nat = 28, ntyp = 3
/
ATOMIC_SPECIES
Ce 140.12 Ce.upf
Al 26.98 Al.upf
Rh 102.91 Rh.upf
CELL_PARAMETERS angstrom
6.5261 -3.8075 0.0000
6.5261 3.8075 0.0000
0.0000 0.0000 9.3546
ATOMIC_POSITIONS angstrom
Ce 4.4073 2.5433 7.0160
Ce 8.6449 2.5433 7.0160
Ce 4.4073 -2.5433 2.3387
Ce 8.6449 -2.5433 2.3387
Al 4.3466 2.5218 0.7089
Al 4.3466 2.5218 3.9684
Al 6.5261 2.8267 2.3387
Al 6.5261 1.2674 5.1408
Al 6.5261 1.2674 8.8912
Al 8.7056 2.5218 0.7089
Al 8.7056 2.5218 3.9684
Al 5.1663 0.4050 2.3387
Al 5.1663 -0.4050 7.0160
Al 7.8859 0.4050 2.3387
Al 7.8859 -0.4050 7.0160
Al 4.3466 -2.5218 5.3862
Al 4.3466 -2.5218 8.6458
Al 6.5261 -1.2674 0.4634
Al 6.5261 -1.2674 4.2139
Al 6.5261 -2.8267 7.0160
Al 8.7056 -2.5218 5.3862
Al 8.7056 -2.5218 8.6458
Rh 0.0000 0.0000 0.0000
Rh 0.0000 0.0000 4.6773
Rh 4.2825 0.0000 0.0000
Rh 4.2825 0.0000 4.6773
Rh 8.7697 0.0000 0.0000
Rh 8.7697 0.0000 4.6773
! - ΔH_f (0 K): -772 meV per atom
! - Magnetic moment: 1.18 μB/cell
! - Space-group type: Cmcm (63)

No. 6
! CeAlRh | Alexandria via LeMat-Bulk | GGA-PBEsol | optimized geometry; values from VASP
&SYSTEM
  ibrav = 0, nat = 24, ntyp = 3
/
ATOMIC_SPECIES
Ce 140.12 Ce.upf
Al 26.98 Al.upf
Rh 102.91 Rh.upf
CELL_PARAMETERS angstrom
6.9814 0.0000 0.0000
0.0000 4.1718 0.0000
0.0000 0.0000 15.5745
ATOMIC_POSITIONS angstrom
Ce 0.1838 1.0429 3.4372
Ce 1.0556 1.0429 6.8670
Ce 2.4351 3.1288 14.6543
Ce 3.3069 3.1288 11.2245
Ce 3.6745 1.0429 4.3501
Ce 4.5463 1.0429 0.9202
Ce 5.9259 3.1288 8.7075
Ce 6.7977 3.1288 12.1373
Al 0.0393 1.0429 14.6047
Al 1.0080 1.0429 10.1267
Al 2.4827 3.1288 2.3395
Al 3.4514 3.1288 6.8174
Al 3.5300 1.0429 8.7571
Al 4.4987 1.0429 13.2350
Al 5.9735 3.1288 5.4478
Al 6.9422 3.1288 0.9698
Rh 1.5440 1.0429 1.1490
Rh 1.6403 3.1288 4.9480
Rh 1.8504 1.0429 12.7353
Rh 1.9467 3.1288 8.9363
Rh 5.0348 1.0429 6.6382
Rh 5.1310 3.1288 2.8392
Rh 5.3411 1.0429 10.6265
Rh 5.4374 3.1288 14.4255
! - ΔH_f (0 K): -787 meV per atom
! - Magnetic moment: 0.76 μB/cell
! - Space-group type: Pnma (62)

No. 7
! CeAl4Si2Rh | Alexandria via LeMat-Bulk | GGA-PBEsol | optimized geometry; values from VASP
&SYSTEM
  ibrav = 0, nat = 8, ntyp = 4
/
ATOMIC_SPECIES
Ce 140.12 Ce.upf
Al 26.98 Al.upf
Si 28.09 Si.upf
Rh 102.91 Rh.upf
CELL_PARAMETERS angstrom
4.1987 0.0000 0.0000
0.0000 4.1987 0.0000
0.0000 0.0000 7.8692
ATOMIC_POSITIONS angstrom
Ce 0.0000 0.0000 0.0000
Al 0.0000 2.0994 2.5905
Al 0.0000 2.0994 5.2787
Al 2.0994 0.0000 2.5905
Al 2.0994 0.0000 5.2787
Si 2.0994 2.0994 1.1241
Si 2.0994 2.0994 6.7451
Rh 0.0000 0.0000 3.9346
! - E_form (uncorrected): -0.615 eV/atom
! - Magnetic moment: 0.35 μB/cell
! - Space-group type: P4/mmm (123)

No. 8
! Ce2Al3Ru | Alexandria via LeMat-Bulk | GGA-PBEsol | optimized geometry; values from VASP
&SYSTEM
  ibrav = 0, nat = 12, ntyp = 3
/
ATOMIC_SPECIES
Ce 140.12 Ce.upf
Al 26.98 Al.upf
Ru 101.07 Ru.upf
CELL_PARAMETERS angstrom
5.4430 0.0000 0.0000
-2.7215 4.7138 0.0000
0.0000 0.0000 8.8461
ATOMIC_POSITIONS angstrom
Ce 0.0000 3.1425 0.4647
Ce 0.0000 3.1425 3.9583
Ce 2.7215 1.5713 4.8878
Ce 2.7215 1.5713 8.3813
Al 0.0000 1.5352 6.6345
Al -1.3920 3.9462 6.6345
Al 1.3295 0.7676 2.2115
Al 1.3920 3.9462 6.6345
Al 4.1135 0.7676 2.2115
Al 2.7215 3.1786 2.2115
Ru 0.0000 0.0000 0.0000
Ru 0.0000 0.0000 4.4230
! - ΔH_f (0 K): -467 meV per atom
! - Magnetic moment: 2.45 μB/cell
! - Space-group type: P6_3/mmc (194)

No. 9
! Ce3AlVS7 | Alexandria via LeMat-Bulk | GGA-PBEsol | optimized geometry; values from VASP
&SYSTEM
  ibrav = 0, nat = 24, ntyp = 4
/
ATOMIC_SPECIES
Ce 140.12 Ce.upf
Al 26.98 Al.upf
V 50.94 V.upf
S 32.06 S.upf
CELL_PARAMETERS angstrom
9.5257 0.0000 0.0000
-4.7629 8.2495 0.0000
0.0000 0.0000 6.1134
ATOMIC_POSITIONS angstrom
Ce -0.1318 3.0629 0.0000
Ce -2.0444 6.8323 0.0000
Ce 2.5866 1.6456 3.0567
Ce 2.1763 6.6039 0.0000
Ce 6.8073 1.4173 3.0567
Ce 4.8947 5.1867 3.0567
Al 0.0000 5.4997 2.5926
Al 4.7629 2.7498 5.6493
V 0.0000 0.0000 2.0896
V 0.0000 0.0000 5.1463
S -1.8445 4.5378 1.7451
S -0.0728 1.8917 3.5998
S -3.0882 7.3667 3.5998
S 1.6019 1.0089 0.5431
S 0.0000 5.4997 4.8091
S 1.7553 4.3833 1.7451
S 0.0892 7.5780 1.7451
S 4.6737 0.6715 4.8019
S 3.0076 3.8663 4.8019
S 4.7629 2.7498 1.7524
S 3.1610 7.2407 3.5998
S 7.8511 0.8828 0.5431
S 4.8357 6.3578 0.5431
S 6.6074 3.7117 4.8019
! - E_form (uncorrected): -1.668 eV/atom
! - Magnetic moment: 2.09 μB/cell
! - Space-group type: P6_3 (173)